(1)
Compound: ZrSiTc
Source: Alexandria via LeMat-Bulk
Functional: GGA-PBE
Structure: relaxed

- Symmetry: F-43m (216)
- Crystal system: cubic
- Raw formation energy: 0.54 eV per atom
- Energy relative to the lowest polymorph listed for this composition: 1422 meV per atom

The structure in CIF format:
```
data_ZrSiTc
_chemical_formula_sum 'Zr4 Si4 Tc4'
_cell_length_a 6.239
_cell_length_b 6.239
_cell_length_c 6.239
_cell_angle_alpha 90.00
_cell_angle_beta 90.00
_cell_angle_gamma 90.00
_space_group_name_H-M_alt 'P 1'
_space_group_IT_number 1
loop_
_space_group_symop_operation_xyz
'x,y,z'
loop_
_atom_site_label
_atom_site_fract_x
_atom_site_fract_y
_atom_site_fract_z
Zr1 0.000 0.000 0.000
Zr2 0.000 0.500 0.500
Zr3 0.500 0.000 0.500
Zr4 0.500 0.500 0.000
Si1 0.250 0.250 0.250
Si2 0.250 0.750 0.750
Si3 0.750 0.250 0.750
Si4 0.750 0.750 0.250
Tc1 0.250 0.250 0.750
Tc2 0.250 0.750 0.250
Tc3 0.750 0.250 0.250
Tc4 0.750 0.750 0.750
```

---

(2)
Compound: CaCe2SnN
Source: Alexandria via LeMat-Bulk
Functional: GGA-PBE
Structure: relaxed

- Symmetry: P4/mmm (123)
- Crystal system: tetragonal
- Raw formation energy: -0.92 eV per atom

The structure in CIF format:
```
data_CaCe2SnN
_chemical_formula_sum 'Ca1 Ce2 Sn1 N1'
_cell_length_a 4.890
_cell_length_b 4.890
_cell_length_c 4.982
_cell_angle_alpha 90.00
_cell_angle_beta 90.00
_cell_angle_gamma 90.00
_space_group_name_H-M_alt 'P 1'
_space_group_IT_number 1
loop_
_space_group_symop_operation_xyz
'x,y,z'
loop_
_atom_site_label
_atom_site_fract_x
_atom_site_fract_y
_atom_site_fract_z
Ca1 0.000 0.000 0.000
Ce1 0.000 0.500 0.500
Ce2 0.500 0.000 0.500
Sn1 0.500 0.500 0.000
N1 0.000 0.000 0.500
```

---

(3)
Compound: Li5Np3F12
Source: Alexandria via LeMat-Bulk
Functional: GGA-PBE
Structure: relaxed

- Symmetry: Ia-3d (230)
- Crystal system: cubic
- Raw formation energy: -2.96 eV per atom

The structure in CIF format:
```
data_Li5Np3F12
_chemical_formula_sum 'Li20 Np12 F48'
_cell_length_a 11.036
_cell_length_b 11.036
_cell_length_c 11.036
_cell_angle_alpha 109.47
_cell_angle_beta 109.47
_cell_angle_gamma 109.47
_space_group_name_H-M_alt 'P 1'
_space_group_IT_number 1
loop_
_space_group_symop_operation_xyz
'x,y,z'
loop_
_atom_site_label
_atom_site_fract_x
_atom_site_fract_y
_atom_site_fract_z
Li1 0.000 0.000 0.000
Li2 0.000 0.000 0.500
Li3 0.000 0.500 0.000
Li4 0.000 0.500 0.500
Li5 0.125 0.750 0.875
Li6 0.125 0.875 0.250
Li7 0.250 0.125 0.875
Li8 0.250 0.625 0.375
Li9 0.375 0.250 0.625
Li10 0.375 0.625 0.750
Li11 0.500 0.000 0.000
Li12 0.500 0.000 0.500
Li13 0.500 0.500 0.000
Li14 0.500 0.500 0.500
Li15 0.625 0.375 0.250
Li16 0.625 0.750 0.375
Li17 0.750 0.375 0.625
Li18 0.750 0.875 0.125
Li19 0.875 0.125 0.750
Li20 0.875 0.250 0.125
Np1 0.125 0.250 0.375
Np2 0.125 0.375 0.750
Np3 0.250 0.375 0.125
Np4 0.250 0.875 0.625
Np5 0.375 0.125 0.250
Np6 0.375 0.750 0.125
Np7 0.625 0.250 0.875
Np8 0.625 0.875 0.750
Np9 0.750 0.125 0.375
Np10 0.750 0.625 0.875
Np11 0.875 0.625 0.250
Np12 0.875 0.750 0.625
F1 0.022 0.207 0.117
F2 0.022 0.315 0.905
F3 0.089 0.707 0.685
F4 0.089 0.883 0.405
F5 0.095 0.617 0.411
F6 0.095 0.978 0.685
F7 0.117 0.022 0.207
F8 0.117 0.595 0.911
F9 0.185 0.207 0.589
F10 0.185 0.478 0.595
F11 0.207 0.117 0.022
F12 0.207 0.589 0.185
F13 0.293 0.315 0.911
F14 0.293 0.478 0.383
F15 0.315 0.905 0.022
F16 0.315 0.911 0.293
F17 0.383 0.293 0.478
F18 0.383 0.589 0.905
F19 0.405 0.089 0.883
F20 0.405 0.815 0.522
F21 0.411 0.095 0.617
F22 0.411 0.815 0.793
F23 0.478 0.383 0.293
F24 0.478 0.595 0.185
F25 0.522 0.405 0.815
F26 0.522 0.617 0.707
F27 0.589 0.185 0.207
F28 0.589 0.905 0.383
F29 0.595 0.185 0.478
F30 0.595 0.911 0.117
F31 0.617 0.411 0.095
F32 0.617 0.707 0.522
F33 0.685 0.089 0.707
F34 0.685 0.095 0.978
F35 0.707 0.522 0.617
F36 0.707 0.685 0.089
F37 0.793 0.411 0.815
F38 0.793 0.883 0.978
F39 0.815 0.522 0.405
F40 0.815 0.793 0.411
F41 0.883 0.405 0.089
F42 0.883 0.978 0.793
F43 0.905 0.022 0.315
F44 0.905 0.383 0.589
F45 0.911 0.117 0.595
F46 0.911 0.293 0.315
F47 0.978 0.685 0.095
F48 0.978 0.793 0.883
```

---

(4)
Compound: TmGa2Pd
Source: Alexandria via LeMat-Bulk
Functional: GGA-PBE
Structure: relaxed

- Symmetry: Pnma (62)
- Crystal system: orthorhombic
- ΔH_f (0 K): -70 kJ/mol of atoms

The structure in CIF format:
```
data_TmGa2Pd
_chemical_formula_sum 'Tm4 Ga8 Pd4'
_cell_length_a 8.181
_cell_length_b 6.729
_cell_length_c 5.425
_cell_angle_alpha 90.00
_cell_angle_beta 90.00
_cell_angle_gamma 90.00
_space_group_name_H-M_alt 'P 1'
_space_group_IT_number 1
loop_
_space_group_symop_operation_xyz
'x,y,z'
loop_
_atom_site_label
_atom_site_fract_x
_atom_site_fract_y
_atom_site_fract_z
Tm1 0.038 0.250 0.127
Tm2 0.462 0.750 0.627
Tm3 0.538 0.250 0.373
Tm4 0.962 0.750 0.873
Ga1 0.193 0.052 0.619
Ga2 0.193 0.448 0.619
Ga3 0.307 0.552 0.119
Ga4 0.307 0.948 0.119
Ga5 0.693 0.052 0.881
Ga6 0.693 0.448 0.881
Ga7 0.807 0.552 0.381
Ga8 0.807 0.948 0.381
Pd1 0.084 0.750 0.368
Pd2 0.416 0.250 0.868
Pd3 0.584 0.750 0.132
Pd4 0.916 0.250 0.632
```

---

(5)
Compound: TbSi2Rh6
Source: Alexandria via LeMat-Bulk
Functional: GGA-PBE
Structure: relaxed

- Symmetry: Fd-3m (227)
- Crystal system: cubic
- Raw formation energy: -0.18 eV per atom

The structure in CIF format:
```
data_TbSi2Rh6
_chemical_formula_sum 'Tb2 Si4 Rh12'
_cell_length_a 7.711
_cell_length_b 7.711
_cell_length_c 7.711
_cell_angle_alpha 60.00
_cell_angle_beta 60.00
_cell_angle_gamma 60.00
_space_group_name_H-M_alt 'P 1'
_space_group_IT_number 1
loop_
_space_group_symop_operation_xyz
'x,y,z'
loop_
_atom_site_label
_atom_site_fract_x
_atom_site_fract_y
_atom_site_fract_z
Tb1 0.125 0.125 0.125
Tb2 0.875 0.875 0.875
Si1 0.000 0.500 0.500
Si2 0.500 0.000 0.500
Si3 0.500 0.500 0.000
Si4 0.500 0.500 0.500
Rh1 0.127 0.127 0.623
Rh2 0.127 0.623 0.127
Rh3 0.127 0.623 0.623
Rh4 0.377 0.377 0.873
Rh5 0.377 0.873 0.377
Rh6 0.377 0.873 0.873
Rh7 0.623 0.127 0.127
Rh8 0.623 0.127 0.623
Rh9 0.623 0.623 0.127
Rh10 0.873 0.377 0.377
Rh11 0.873 0.377 0.873
Rh12 0.873 0.873 0.377
```

---

(6)
Compound: Y7AuI12
Source: Alexandria via LeMat-Bulk
Functional: GGA-PBE
Structure: relaxed

- Symmetry: R-3 (148)
- Crystal system: trigonal
- Raw formation energy: -1.22 eV per atom

The structure in CIF format:
```
data_Y7AuI12
_chemical_formula_sum 'Y7 Au1 I12'
_cell_length_a 9.763
_cell_length_b 9.763
_cell_length_c 9.763
_cell_angle_alpha 107.81
_cell_angle_beta 107.81
_cell_angle_gamma 107.81
_space_group_name_H-M_alt 'P 1'
_space_group_IT_number 1
loop_
_space_group_symop_operation_xyz
'x,y,z'
loop_
_atom_site_label
_atom_site_fract_x
_atom_site_fract_y
_atom_site_fract_z
Y1 0.000 0.000 0.000
Y2 0.183 0.390 0.460
Y3 0.390 0.460 0.183
Y4 0.460 0.183 0.390
Y5 0.540 0.817 0.610
Y6 0.610 0.540 0.817
Y7 0.817 0.610 0.540
Au1 0.500 0.500 0.500
I1 0.026 0.343 0.106
I2 0.106 0.026 0.343
I3 0.183 0.725 0.576
I4 0.275 0.424 0.817
I5 0.343 0.106 0.026
I6 0.424 0.817 0.275
I7 0.576 0.183 0.725
I8 0.657 0.894 0.974
I9 0.725 0.576 0.183
I10 0.817 0.275 0.424
I11 0.894 0.974 0.657
I12 0.974 0.657 0.894
```

---

(7)
Compound: GaP2S2
Source: Alexandria via LeMat-Bulk
Functional: GGA-PBE
Structure: relaxed

- Symmetry: I4/mmm (139)
- Crystal system: tetragonal
- Raw formation energy: 0.33 eV per atom
- Energy relative to the lowest polymorph listed for this composition: 211 meV per atom

The structure in CIF format:
```
data_GaP2S2
_chemical_formula_sum 'Ga2 P4 S4'
_cell_length_a 4.926
_cell_length_b 4.926
_cell_length_c 7.968
_cell_angle_alpha 90.00
_cell_angle_beta 90.00
_cell_angle_gamma 90.00
_space_group_name_H-M_alt 'P 1'
_space_group_IT_number 1
loop_
_space_group_symop_operation_xyz
'x,y,z'
loop_
_atom_site_label
_atom_site_fract_x
_atom_site_fract_y
_atom_site_fract_z
Ga1 0.000 0.000 0.000
Ga2 0.500 0.500 0.500
P1 0.000 0.000 0.308
P2 0.000 0.000 0.692
P3 0.500 0.500 0.192
P4 0.500 0.500 0.808
S1 0.000 0.500 0.250
S2 0.000 0.500 0.750
S3 0.500 0.000 0.250
S4 0.500 0.000 0.750
```

---

(8)
Compound: Mn2AlCr
Source: Alexandria via LeMat-Bulk
Functional: GGA-PBE
Structure: relaxed

- Symmetry: P4/mmm (123)
- Crystal system: tetragonal
- ΔH_f (0 K): -11 kJ/mol of atoms

The structure in CIF format:
```
data_Mn2AlCr
_chemical_formula_sum 'Mn2 Al1 Cr1'
_cell_length_a 4.043
_cell_length_b 4.043
_cell_length_c 2.887
_cell_angle_alpha 90.00
_cell_angle_beta 90.00
_cell_angle_gamma 90.00
_space_group_name_H-M_alt 'P 1'
_space_group_IT_number 1
loop_
_space_group_symop_operation_xyz
'x,y,z'
loop_
_atom_site_label
_atom_site_fract_x
_atom_site_fract_y
_atom_site_fract_z
Mn1 0.000 0.500 0.000
Mn2 0.500 0.000 0.000
Al1 0.000 0.000 0.500
Cr1 0.500 0.500 0.500
```

---

(9)
Compound: SmY3Ho7
Source: Alexandria via LeMat-Bulk
Functional: GGA-PBE
Structure: relaxed

- Symmetry: P3m1 (156)
- Crystal system: trigonal
- ΔH_f (0 K): 19 kJ/mol of atoms
- Energy relative to the lowest polymorph listed for this composition: 40 meV per atom

The structure in CIF format:
```
data_SmY3Ho7
_chemical_formula_sum 'Sm1 Y3 Ho7'
_cell_length_a 7.034
_cell_length_b 7.034
_cell_length_c 8.611
_cell_angle_alpha 90.00
_cell_angle_beta 90.00
_cell_angle_gamma 120.00
_space_group_name_H-M_alt 'P 1'
_space_group_IT_number 1
loop_
_space_group_symop_operation_xyz
'x,y,z'
loop_
_atom_site_label
_atom_site_fract_x
_atom_site_fract_y
_atom_site_fract_z
Sm1 0.000 0.000 0.000
Y1 0.167 0.334 0.340
Y2 0.167 0.833 0.340
Y3 0.666 0.833 0.340
Ho1 0.003 0.501 0.003
Ho2 0.331 0.165 0.674
Ho3 0.333 0.667 0.676
Ho4 0.499 0.501 0.003
Ho5 0.499 0.997 0.003
Ho6 0.835 0.165 0.674
Ho7 0.835 0.669 0.674
```

---

(10)
Compound: Pm4Y8Ho3
Source: Alexandria via LeMat-Bulk
Functional: GGA-PBE
Structure: relaxed

- Symmetry: C2/m (12)
- Crystal system: monoclinic
- ΔH_f (0 K): 36 kJ/mol of atoms
- Energy relative to the lowest polymorph listed for this composition: 244 meV per atom

The structure in CIF format:
```
data_Pm4Y8Ho3
_chemical_formula_sum 'Pm4 Y8 Ho3'
_cell_length_a 9.317
_cell_length_b 9.317
_cell_length_c 6.778
_cell_angle_alpha 111.26
_cell_angle_beta 111.26
_cell_angle_gamma 87.30
_space_group_name_H-M_alt 'P 1'
_space_group_IT_number 1
loop_
_space_group_symop_operation_xyz
'x,y,z'
loop_
_atom_site_label
_atom_site_fract_x
_atom_site_fract_y
_atom_site_fract_z
Pm1 0.000 0.000 0.000
Pm2 0.000 0.000 0.500
Pm3 0.000 0.500 0.000
Pm4 0.500 0.000 0.000
Y1 0.254 0.746 0.000
Y2 0.266 0.266 0.512
Y3 0.270 0.270 0.036
Y4 0.359 0.641 0.500
Y5 0.641 0.359 0.500
Y6 0.730 0.730 0.964
Y7 0.734 0.734 0.488
Y8 0.746 0.254 0.000
Ho1 0.000 0.500 0.500
Ho2 0.500 0.000 0.500
Ho3 0.500 0.500 0.000
```

---

(11)
Compound: Ac4Ru2O
Source: Alexandria via LeMat-Bulk
Functional: GGA-PBE
Structure: relaxed

- Symmetry: I4/mmm (139)
- Crystal system: tetragonal
- Raw formation energy: -0.74 eV per atom

The structure in CIF format:
```
data_Ac4Ru2O
_chemical_formula_sum 'Ac8 Ru4 O2'
_cell_length_a 5.058
_cell_length_b 5.058
_cell_length_c 15.112
_cell_angle_alpha 90.00
_cell_angle_beta 90.00
_cell_angle_gamma 90.00
_space_group_name_H-M_alt 'P 1'
_space_group_IT_number 1
loop_
_space_group_symop_operation_xyz
'x,y,z'
loop_
_atom_site_label
_atom_site_fract_x
_atom_site_fract_y
_atom_site_fract_z
Ac1 0.000 0.000 0.193
Ac2 0.000 0.000 0.807
Ac3 0.000 0.500 0.000
Ac4 0.000 0.500 0.500
Ac5 0.500 0.000 0.000
Ac6 0.500 0.000 0.500
Ac7 0.500 0.500 0.307
Ac8 0.500 0.500 0.693
Ru1 0.000 0.000 0.374
Ru2 0.000 0.000 0.626
Ru3 0.500 0.500 0.126
Ru4 0.500 0.500 0.874
O1 0.000 0.000 0.000
O2 0.500 0.500 0.500
```

---

(12)
Compound: Sr2TlAu
Source: Alexandria via LeMat-Bulk
Functional: GGA-PBE
Structure: relaxed

- Symmetry: P2/m (10)
- Crystal system: monoclinic
- ΔH_f (0 K): -54 kJ/mol of atoms
- Energy relative to the lowest polymorph listed for this composition: 0 meV per atom

The structure in CIF format:
```
data_Sr2TlAu
_chemical_formula_sum 'Sr2 Tl1 Au1'
_cell_length_a 3.857
_cell_length_b 3.902
_cell_length_c 8.333
_cell_angle_alpha 90.00
_cell_angle_beta 90.17
_cell_angle_gamma 90.00
_space_group_name_H-M_alt 'P 1'
_space_group_IT_number 1
loop_
_space_group_symop_operation_xyz
'x,y,z'
loop_
_atom_site_label
_atom_site_fract_x
_atom_site_fract_y
_atom_site_fract_z
Sr1 0.001 0.000 0.272
Sr2 0.999 0.000 0.728
Tl1 0.500 0.500 0.000
Au1 0.500 0.500 0.500
```

---

no.,DOS at the Fermi energy (states/eV per cell)
1,14.3
2,8.5
3,111.0
4,8.6
5,17.2
6,9.0
7,4.6
8,3.7
9,18.1
10,30.5
11,5.9
12,2.4